## ZnNiGeMo2 (PBE)

Data for ZnNiGeMo2 after structural relaxation.

Cell lengths 4.6539, 4.2343, 4.6539 Å; angles 90.00, 90.00, 90.00 degrees
Fractional positions:
Zn 0.5000 0.5000 0.5000
Mo 0.0000 0.0000 0.5000
Mo 0.5000 0.0000 0.0000
Ge 0.0000 0.0000 0.0000
Ni 0.0000 0.5000 0.0000

Summary:
energy = -5.561 eV/atom
crystal system = tetragonal
magnetic moment = 0.00 μB per atom
theoretical density = 7.036 Mg/m³
V = 91.7 Å³/cell